Below is LiPm2Pd2 after structural relaxation, with properties calculated at the PBE level.

Summary:
Space-group type   No. 127
Spin magnetization   0.000 μB per formula unit
Mass density   7.17 g/cm3
E   -50.0 eV per cell
Energy relative to the elements   -639 meV/atom

a b c (Å): 3.894 7.786 7.786
angles (deg): 90.00 90.00 90.00
Positions (direct):
Li 0.000 0.000 0.000
Li 0.000 0.500 0.500
Pm 0.500 0.167 0.667
Pm 0.500 0.667 0.833
Pm 0.500 0.833 0.333
Pm 0.500 0.333 0.167
Pd 0.000 0.367 0.867
Pd 0.000 0.867 0.633
Pd 0.000 0.633 0.133
Pd 0.000 0.133 0.367